Compound: Tl4HgSe
Source: the Alexandria database
Functional: PBE
Structure: optimized geometry

Properties
The density of states at the Fermi level comes out at 2.1 states/eV/cell. The polymorph energy (0 for the lowest one) comes out at 0.000 eV per formula unit. For the total energy, the calculation gives -14.07 eV per cell. For the uncorrected formation energy, the calculation gives -136 meV/atom.

Cell: 4.3302 5.0422 9.0330 Å, 75.75 79.19 89.97°
Space group P1 (No. 1)
Asymmetric unit:
Tl 0.0000 0.0000 0.0000 x1
Tl 0.1347 0.7196 0.6830 x1
Tl 0.3234 0.3491 0.2855 x1
Tl 0.6490 0.2364 0.6410 x1
Hg 0.7837 0.8230 0.3655 x1
Se 0.5245 0.4671 0.9418 x1